# Hf2NbFe5B2 (PBE, optimized geometry)
data_Hf2NbFe5B2
_space_group_name_H-M_alt 'P 1'
_space_group_IT_number 1
_cell_length_a 8.911
_cell_length_b 8.911
_cell_length_c 2.998
_cell_angle_alpha 90.00
_cell_angle_beta 90.00
_cell_angle_gamma 90.00
loop_
_space_group_symop_operation_xyz
'x,y,z'
loop_
_atom_site_label
_atom_site_fract_x
_atom_site_fract_y
_atom_site_fract_z
Hf1 0.175 0.325 0.000
Hf2 0.325 0.825 0.000
Hf3 0.675 0.175 0.000
Hf4 0.825 0.675 0.000
Nb1 0.000 0.000 0.000
Nb2 0.500 0.500 0.000
Fe1 0.000 0.500 0.500
Fe2 0.069 0.777 0.500
Fe3 0.223 0.069 0.500
Fe4 0.277 0.569 0.500
Fe5 0.431 0.277 0.500
Fe6 0.500 0.000 0.500
Fe7 0.569 0.723 0.500
Fe8 0.723 0.431 0.500
Fe9 0.777 0.931 0.500
Fe10 0.931 0.223 0.500
B1 0.119 0.619 0.000
B2 0.381 0.119 0.000
B3 0.619 0.881 0.000
B4 0.881 0.381 0.000
# - D(E_F): 17.16 states/eV per cell
# - Energy of formation: -0.455 eV/atom
# - Electronic total energy: -0.6629 Ry per atom

***

# HfFeNi2B (PBE, optimized geometry)
data_HfFeNi2B
_space_group_name_H-M_alt 'P 1'
_space_group_IT_number 1
_cell_length_a 3.889
_cell_length_b 3.889
_cell_length_c 3.898
_cell_angle_alpha 90.00
_cell_angle_beta 90.00
_cell_angle_gamma 90.00
loop_
_space_group_symop_operation_xyz
'x,y,z'
loop_
_atom_site_label
_atom_site_fract_x
_atom_site_fract_y
_atom_site_fract_z
Hf1 0.000 0.000 0.000
Fe1 0.500 0.500 0.000
Ni1 0.000 0.500 0.500
Ni2 0.500 0.000 0.500
B1 0.500 0.500 0.500
# - D(E_F): 3.40 states/eV per cell
# - Energy of formation: -0.363 eV/atom
# - Electronic total energy: -0.5655 Ry per atom

***

# HfFe2NiB (PBE, optimized geometry)
data_HfFe2NiB
_space_group_name_H-M_alt 'P 1'
_space_group_IT_number 1
_cell_length_a 3.907
_cell_length_b 3.907
_cell_length_c 3.823
_cell_angle_alpha 90.00
_cell_angle_beta 90.00
_cell_angle_gamma 90.00
loop_
_space_group_symop_operation_xyz
'x,y,z'
loop_
_atom_site_label
_atom_site_fract_x
_atom_site_fract_y
_atom_site_fract_z
Hf1 0.000 0.000 0.000
Fe1 0.000 0.500 0.500
Fe2 0.500 0.000 0.500
Ni1 0.500 0.500 0.000
B1 0.500 0.500 0.500
# - D(E_F): 2.09 states/eV per cell
# - Energy of formation: -0.346 eV/atom
# - Electronic total energy: -0.6037 Ry per atom